The following is a DFT calculation (PBE) of a relaxed BaLi2CdAu crystal.

The structure belongs to space group P4/mmm (No. 123); the cell edges are 5.134, 5.134 and 5.377 Å and the angles 90.00°, 90.00° and 90.00°. The distinct sites, in fractional coordinates, are Ba at (0.000, 0.000, 0.000), Li at (0.000, 0.500, 0.500), Cd at (0.500, 0.500, 0.000) and Au at (0.500, 0.500, 0.500).

The total energy is -2.247 eV per atom. The value obtained for the size of the total moment is 0.00 μB/cell. As for the formation energy: -259 meV/atom.